Material: Te2RhI
Method: DFT, PBE-GGA
State: optimized geometry

Output
Space-group type ... C2/m (12)
V ... 28.7 A^3/atom
DOS at the Fermi energy ... 6.2 states/eV per cell
Theoretical density ... 7.02 g cm⁻³
Formation energy (no corrections) ... -0.19 eV per atom

Lattice parameters (Å, degrees): 7.593 3.191 9.469 90.00 91.60 90.00
Positions (direct):
1 Te 0.201 0.000 0.339
2 Te 0.299 0.500 0.661
3 Te 0.701 0.500 0.339
4 Te 0.799 0.000 0.661
5 Rh 0.000 0.500 0.500
6 Rh 0.500 0.000 0.500
7 I 0.000 0.500 0.000
8 I 0.500 0.000 0.000